[1]
Entry from Alexandria: an optimized crystal structure of KInTc (PBE-GGA).

The space group is Fmm2 (No. 42) and the conventional cell measures 4.1265, 4.1470 and 15.9509 Å, with angles of 90.00, 90.00 and 90.00 degrees. The distinct sites, in fractional coordinates, are K at (0.0000, 0.0000, 0.0000), In at (0.0000, 0.0000, 0.6902) and Tc at (0.0000, 0.0000, 0.3222).

The calculated total energy is -47.37 eV for the cell shown. For the energy of formation from the pure elements, the calculation gives 2.4 eV/f.u. As for the offset from the most stable computed form: 0.096 eV per atom.

***

[2]
Entry from Alexandria: an optimized crystal structure of K2InTc (PBE-GGA).

The space group is Pmmm (No. 47) and the conventional cell measures 2.9840, 5.8842 and 5.8876 Å, with angles of 90.00, 90.00 and 90.00 degrees. The distinct sites, in fractional coordinates, are K at (0.0000, 0.0000, 0.2429), In at (0.5000, 0.5000, 0.5000) and Tc at (0.5000, 0.5000, 0.0000).

The calculated total energy is -11.43 eV for the cell shown. For the energy of formation from the pure elements, the calculation gives 3.9 eV/f.u.

***

[3]
Entry from Alexandria: an optimized crystal structure of KInTc2 (PBE-GGA).

The space group is Pmmm (No. 47) and the conventional cell measures 2.8450, 5.1648 and 5.2882 Å, with angles of 90.00, 90.00 and 90.00 degrees. The distinct sites, in fractional coordinates, are K at (0.0000, 0.0000, 0.0000), In at (0.5000, 0.5000, 0.0000), Tc at (0.0000, 0.5000, 0.5000) and Tc at (0.5000, 0.0000, 0.5000).

The calculated total energy is -19.65 eV for the cell shown. For the energy of formation from the pure elements, the calculation gives 4.9 eV/f.u.

***

[4]
Entry from Alexandria: an optimized crystal structure of KInTc2 (PBE-GGA).

The space group is P2/m (No. 10) and the conventional cell measures 3.5104, 5.1175 and 6.5165 Å, with angles of 90.00, 98.07 and 90.00 degrees. The distinct sites, in fractional coordinates, are K at (0.0000, 0.0000, 0.0000), In at (0.5000, 0.0000, 0.5000) and Tc at (0.2757, 0.5000, 0.6133).

The calculated total energy is -21.42 eV for the cell shown. For the energy of formation from the pure elements, the calculation gives 3.1 eV/f.u.

***

[5]
Entry from Alexandria: an optimized crystal structure of KInTc2 (PBE-GGA).

The space group is I-42d (No. 122) and the conventional cell measures 4.3544, 4.3544 and 20.2136 Å, with angles of 90.00, 90.00 and 90.00 degrees. The distinct sites, in fractional coordinates, are K at (0.0000, 0.0000, 0.0000), In at (0.0000, 0.0000, 0.5000) and Tc at (0.1279, 0.2500, 0.6250).

The calculated total energy is -79.77 eV for the cell shown. For the energy of formation from the pure elements, the calculation gives 4.6 eV/f.u.

***

[6]
Entry from Alexandria: an optimized crystal structure of KInTc2 (PBE-GGA).

The space group is I4/mmm (No. 139) and the conventional cell measures 4.0372, 4.0372 and 9.6320 Å, with angles of 90.00, 90.00 and 90.00 degrees. The distinct sites, in fractional coordinates, are K at (0.0000, 0.0000, 0.0000), In at (0.0000, 0.0000, 0.5000) and Tc at (0.0000, 0.5000, 0.2500).

The calculated total energy is -38.29 eV for the cell shown. For the energy of formation from the pure elements, the calculation gives 5.4 eV/f.u.

***

Total magnetization (Bohr magnetons per cell)
1.90; 0.35; 0.00; 0.00; 0.00; 0.00